1.
Entry from Alexandria via LeMat-Bulk: a relaxed structure of Ba4H6Br (PBE).

Cell: 8.1810 8.1810 4.1305 Å, 90.00 90.00 120.00°
Last column: nearest neighbours and their distance in Å.
Space group P-6m2 (No. 187)
Unique sites:
Ba (0.0000, 0.0000, 0.0000) [1 per cell]  9 H 2.80-2.88
Ba (0.0244, 0.5122, 0.5000) [3 per cell]  6 H 2.70-2.90
H (0.2031, 0.4063, 0.0000) [3 per cell]  5 Ba 2.88-2.90, 2 H 3.20
H (0.2662, 0.1331, 0.5000) [3 per cell]  4 Ba 2.70-2.80
Br (0.6667, 0.3333, 0.0000) [1 per cell]  6 Ba 3.27, 6 H 3.51

---

2.
Entry from Alexandria via LeMat-Bulk: a relaxed structure of K2RbAu (PBE).

Properties
* formation energy: -0.12 eV per atom

Cell: 11.3098 11.3098 7.1346 Å, 90.00 90.00 90.00°
Last column: nearest neighbours and their distance in Å.
Space group I-42d (No. 122)
Unique sites:
K (0.1353, 0.7500, 0.1250) [8 per cell]  2 Au 3.34
Rb (0.0000, 0.0000, 0.5000) [4 per cell]  2 Au 3.57
Au (0.0000, 0.0000, 0.0000) [4 per cell]  4 K 3.34, 2 Rb 3.57

---

3.
Entry from Alexandria via LeMat-Bulk: a relaxed structure of PrTm2Mg (PBE).

Properties
* formation energy: -0.02 eV per atom

Cell: 3.6531 3.6531 8.9863 Å, 90.00 90.00 90.00°
Last column: nearest neighbours and their distance in Å.
Space group P4/mmm (No. 123)
Unique sites:
Pr (0.0000, 0.0000, 0.0000) [1 per cell]  8 Tm 3.60, 4 Pr 3.65
Tm (0.5000, 0.5000, 0.2790) [2 per cell]  4 Mg 3.26, 4 Pr 3.60
Mg (0.0000, 0.0000, 0.5000) [1 per cell]  8 Tm 3.26

---

4.
Entry from Alexandria via LeMat-Bulk: a relaxed structure of ScMo3 (PBE).

Properties
* formation energy: 3.12 eV per atom

Cell: 4.6741 4.6741 4.6741 Å, 90.00 90.00 90.00°
Last column: nearest neighbours and their distance in Å.
Space group Pm-3m (No. 221)
Unique sites:
Sc (0.0000, 0.0000, 0.0000) [1 per cell]  6 Mo 2.34
Mo (0.0000, 0.0000, 0.5000) [3 per cell]  2 Sc 2.34

---

5.
Entry from Alexandria via LeMat-Bulk: a relaxed structure of Dy6Co2Pt (PBE).

Properties
* formation energy: -0.33 eV per atom

Cell: 6.4983 7.0358 11.6551 Å, 90.00 120.76 90.00°
Last column: nearest neighbours and their distance in Å.
Space group P2_1/c (No. 14)
Unique sites:
Dy (0.0796, 0.1818, 0.4247) [4 per cell]  2 Co 2.72-3.03, 1 Pt 2.72
Dy (0.2264, 0.6682, 0.4139) [4 per cell]  1 Pt 2.79, 2 Co 2.79-2.81
Dy (0.4153, 0.0632, 0.2439) [4 per cell]  2 Co 2.70-2.74, 1 Pt 2.78
Co (0.1877, 0.1110, 0.7334) [4 per cell]  5 Dy 2.70-2.81
Pt (0.5000, 0.0000, 0.5000) [2 per cell]  6 Dy 2.72-2.79

---

6.
Entry from Alexandria via LeMat-Bulk: a relaxed structure of Ce2Pm3Tm6Th (PBE).

Properties
* formation energy: 0.04 eV per atom

Cell: 6.1296 10.6164 11.6081 Å, 90.00 100.16 90.00°
Last column: nearest neighbours and their distance in Å.
Space group C2/m (No. 12)
Unique sites:
Ce (0.0000, 0.1667, 0.0000) [4 per cell]  6 Tm 3.47, 3 Th 3.54, 3 Ce 3.54
Pm (0.0000, 0.0000, 0.5000) [2 per cell]  6 Pm 3.54, 6 Tm 3.56-3.57
Pm (0.0000, 0.3333, 0.5000) [4 per cell]  6 Pm 3.54, 6 Tm 3.56
Tm (0.2479, 0.3340, 0.2448) [8 per cell]  1 Th 3.46, 2 Ce 3.47, 6 Tm 3.52-3.55, 3 Pm 3.56
Tm (0.2500, 0.0000, 0.2447) [4 per cell]  1 Th 3.46, 2 Ce 3.47, 6 Tm 3.52-3.55, 3 Pm 3.56-3.57
Th (0.0000, 0.5000, 0.0000) [2 per cell]  6 Tm 3.46, 6 Ce 3.54

---

Per-record DFT total energy, eV per atom: -3.3252; -1.7259; -3.8478; -6.5845; -5.6447; -4.9925
Per-record D(E_F), states/eV/f.u.: 2.30; 1.17; 4.92; 8.26; 8.10; 19.90